1.
CuHg: relaxed, PBE.

The structure in CIF format:
```
data_CuHg
_symmetry_space_group_name_H-M 'P 6/m m m'
_symmetry_Int_Tables_number 191
_symmetry_space_group_name_Hall '-P 6 2'
_cell_length_a 5.7920
_cell_length_b 5.7920
_cell_length_c 4.3821
_cell_angle_alpha 90.00
_cell_angle_beta 90.00
_cell_angle_gamma 120.00
loop_
_atom_site_label
_atom_site_type_symbol
_atom_site_fract_x
_atom_site_fract_y
_atom_site_fract_z
Cu1 Cu 0.0000 0.0000 0.0000
Cu2 Cu 0.3333 0.6667 0.5000
Hg1 Hg 0.0000 0.5000 0.0000
```

Computed properties:
DOS at the Fermi energy = 1.42 states/eV per cell
Energy of formation = 0.48 eV per atom
Magnetization = 0.00 Bohr magnetons per cell


2.
CuHg: relaxed, PBE.

The structure in CIF format:
```
data_CuHg
_symmetry_space_group_name_H-M 'I 41/a m d'
_symmetry_Int_Tables_number 141
_cell_length_a 4.009
_cell_length_b 4.009
_cell_length_c 8.550
_cell_angle_alpha 90.00
_cell_angle_beta 90.00
_cell_angle_gamma 90.00
loop_
_symmetry_equiv_pos_as_xyz
'x,y,z'
'-x,-y,-z'
'-y+1/4,x+3/4,z+1/4'
'y+1/4,-x+3/4,-z+1/4'
'-x+1/2,-y,z+1/2'
'x+1/2,y,-z+1/2'
'y+1/4,-x+1/4,z+3/4'
'-y+1/4,x+1/4,-z+3/4'
'x,-y,-z'
'-x,y,z'
'-y+1/4,-x+1/4,-z+3/4'
'y+1/4,x+1/4,z+3/4'
'-x+1/2,y,-z+1/2'
'x+1/2,-y,z+1/2'
'y+1/4,x+3/4,-z+1/4'
'-y+1/4,-x+3/4,z+1/4'
'x+1/2,y+1/2,z+1/2'
'-x+1/2,-y+1/2,-z+1/2'
'-y+3/4,x+1/4,z+3/4'
'y+3/4,-x+1/4,-z+3/4'
'-x,-y+1/2,z'
'x,y+1/2,-z'
'y+3/4,-x+3/4,z+1/4'
'-y+3/4,x+3/4,-z+1/4'
'x+1/2,-y+1/2,-z+1/2'
'-x+1/2,y+1/2,z+1/2'
'-y+3/4,-x+3/4,-z+1/4'
'y+3/4,x+3/4,z+1/4'
'-x,y+1/2,-z'
'x,-y+1/2,z'
'y+3/4,x+1/4,-z+3/4'
'-y+3/4,-x+1/4,z+3/4'
loop_
_atom_site_label
_atom_site_type_symbol
_atom_site_fract_x
_atom_site_fract_y
_atom_site_fract_z
Cu1 Cu 0.000 0.250 0.375
Hg1 Hg 0.000 0.250 0.875
```

Computed properties:
DOS at the Fermi energy = 2.64 states/eV per cell
Energy of formation = 0.24 eV per atom
Magnetization = 0.00 Bohr magnetons per cell


3.
CuHg: relaxed, PBE.

The structure in CIF format:
```
data_CuHg
_symmetry_space_group_name_H-M 'P 63/m m c'
_symmetry_Int_Tables_number 194
_symmetry_space_group_name_Hall '-P 6c 2c'
_cell_length_a 4.7836
_cell_length_b 4.7836
_cell_length_c 7.7080
_cell_angle_alpha 90.00
_cell_angle_beta 90.00
_cell_angle_gamma 120.00
loop_
_atom_site_label
_atom_site_type_symbol
_atom_site_fract_x
_atom_site_fract_y
_atom_site_fract_z
Cu1 Cu 0.3333 0.6667 0.0923
Hg1 Hg 0.0000 0.0000 0.2500
Hg2 Hg 0.3333 0.6667 0.7500
```

Computed properties:
DOS at the Fermi energy = 3.07 states/eV per cell
Energy of formation = 0.38 eV per atom
Magnetization = 0.00 Bohr magnetons per cell


4.
Cu2Hg: relaxed, PBE.

The structure in CIF format:
```
data_Cu2Hg
_symmetry_space_group_name_H-M 'C 1 m 1'
_symmetry_Int_Tables_number 8
_cell_length_a 8.434
_cell_length_b 4.058
_cell_length_c 5.516
_cell_angle_alpha 90.00
_cell_angle_beta 103.74
_cell_angle_gamma 90.00
loop_
_symmetry_equiv_pos_as_xyz
'x,y,z'
'x,-y,z'
'x+1/2,y+1/2,z'
'x+1/2,-y+1/2,z'
loop_
_atom_site_label
_atom_site_type_symbol
_atom_site_fract_x
_atom_site_fract_y
_atom_site_fract_z
Cu1 Cu 0.000 0.000 0.000
Cu2 Cu 0.001 0.000 0.501
Cu3 Cu 0.176 0.500 0.841
Cu4 Cu 0.324 0.000 0.157
Hg1 Hg 0.154 0.500 0.315
Hg2 Hg 0.346 0.000 0.683
```

Computed properties:
DOS at the Fermi energy = 2.81 states/eV per cell
Energy of formation = 0.16 eV per atom
Magnetization = 0.00 Bohr magnetons per cell


What did the second record say?
CuHg: relaxed, PBE.

The structure in CIF format:
```
data_CuHg
_symmetry_space_group_name_H-M 'I 41/a m d'
_symmetry_Int_Tables_number 141
_cell_length_a 4.009
_cell_length_b 4.009
_cell_length_c 8.550
_cell_angle_alpha 90.00
_cell_angle_beta 90.00
_cell_angle_gamma 90.00
loop_
_symmetry_equiv_pos_as_xyz
'x,y,z'
'-x,-y,-z'
'-y+1/4,x+3/4,z+1/4'
'y+1/4,-x+3/4,-z+1/4'
'-x+1/2,-y,z+1/2'
'x+1/2,y,-z+1/2'
'y+1/4,-x+1/4,z+3/4'
'-y+1/4,x+1/4,-z+3/4'
'x,-y,-z'
'-x,y,z'
'-y+1/4,-x+1/4,-z+3/4'
'y+1/4,x+1/4,z+3/4'
'-x+1/2,y,-z+1/2'
'x+1/2,-y,z+1/2'
'y+1/4,x+3/4,-z+1/4'
'-y+1/4,-x+3/4,z+1/4'
'x+1/2,y+1/2,z+1/2'
'-x+1/2,-y+1/2,-z+1/2'
'-y+3/4,x+1/4,z+3/4'
'y+3/4,-x+1/4,-z+3/4'
'-x,-y+1/2,z'
'x,y+1/2,-z'
'y+3/4,-x+3/4,z+1/4'
'-y+3/4,x+3/4,-z+1/4'
'x+1/2,-y+1/2,-z+1/2'
'-x+1/2,y+1/2,z+1/2'
'-y+3/4,-x+3/4,-z+1/4'
'y+3/4,x+3/4,z+1/4'
'-x,y+1/2,-z'
'x,-y+1/2,z'
'y+3/4,x+1/4,-z+3/4'
'-y+3/4,-x+1/4,z+3/4'
loop_
_atom_site_label
_atom_site_type_symbol
_atom_site_fract_x
_atom_site_fract_y
_atom_site_fract_z
Cu1 Cu 0.000 0.250 0.375
Hg1 Hg 0.000 0.250 0.875
```

Computed properties:
DOS at the Fermi energy = 2.64 states/eV per cell
Energy of formation = 0.24 eV per atom
Magnetization = 0.00 Bohr magnetons per cell